Material: InPtNO
Method: DFT, GGA-PBE
State: optimized geometry

Values from the calculation:
Relative energy among the computed polymorphs (meV per atom): 191
SG: No. 26
Energy (eV per atom): -5.425

a = 3.037 Å, b = 6.203 Å, c = 6.239 Å
α = 90.00°, β = 90.00°, γ = 90.00°
Sites, in units of the cell vectors:
O 0.500 0.355 0.132
O 0.500 0.855 0.868
Pt 0.500 0.041 0.259
Pt 0.500 0.541 0.741
N 0.000 0.850 0.365
N 0.000 0.350 0.635
In 0.000 0.008 0.688
In 0.000 0.508 0.312



Material: InPtNO
Method: DFT, GGA-PBE
State: optimized geometry

Values from the calculation:
Relative energy among the computed polymorphs (meV per atom): 0
SG: No. 129
Energy (eV per atom): -5.617

a = 4.140 Å, b = 4.140 Å, c = 6.869 Å
α = 90.00°, β = 90.00°, γ = 90.00°
Sites, in units of the cell vectors:
In 0.500 0.000 0.126
In 0.000 0.500 0.874
N 0.000 0.500 0.559
N 0.500 0.000 0.441
Pt 0.000 0.000 0.500
Pt 0.500 0.500 0.500
O 0.500 0.500 0.000
O 0.000 0.000 0.000



Look up the energy of the second one. -5.617 eV per atom



Which of these has the lowest energy? number 2



Number 2 is which compound? InPtNO



Among the records above, which one has the lowest relative energy among the computed polymorphs? number 2